# YAl3Sn

YAl3Sn after structural relaxation (PBE, the Alexandria database).

energy relative to the elements: 0.615 eV/atom
polymorph energy (0 for the lowest one): 0 meV/atom
spin magnetization: 0.00 μB per atom
symmetry: No. 221

Cell: 5.190 5.190 5.190 Å, 90.00 90.00 90.00°
Element x y z (fractional)
Y: 0.500 0.500 0.500
Al: 0.500 0.000 0.000
Al: 0.000 0.000 0.500
Al: 0.000 0.500 0.000
Sn: 0.000 0.000 0.000